Record 1
## Rb2TlTcCl8 (PBE-GGA)

Data for a relaxed structure of Rb2TlTcCl8. Values from VASP.

Values from the calculation:
uncorrected energy	-3.57	eV per atom
volume	413.6	Å³/cell
ΔE_f (raw)	-1115.6	meV per atom

Quantum ESPRESSO input file:
```
&SYSTEM
  ibrav = 0, nat = 12, ntyp = 4
/
ATOMIC_SPECIES
Cl 35.45 Cl.upf
Tc 98.00 Tc.upf
Tl 204.38 Tl.upf
Rb 85.47 Rb.upf
ATOMIC_POSITIONS crystal
Cl 0.682 0.776 0.501
Cl 0.898 0.219 0.802
Cl 0.706 0.830 0.999
Cl 0.102 0.781 0.198
Cl 0.896 0.218 0.197
Cl 0.294 0.170 0.001
Cl 0.318 0.224 0.499
Cl 0.104 0.782 0.803
Tc 0.000 0.000 0.000
Tl 0.000 0.000 0.500
Rb 0.500 0.498 0.763
Rb 0.500 0.502 0.237
CELL_PARAMETERS angstrom
-4.415 -1.212 5.588
-1.933 -5.542 -3.039
6.298 -4.412 4.000
```

***

Record 2
## Zn6Rh (PBE-GGA)

Data for a relaxed structure of Zn6Rh. Values from VASP.

Values from the calculation:
uncorrected energy	-1.27	eV per atom
formation energy	6.11	eV per formula unit
volume	154.9	Å³/cell
excess energy over the best structure of this formula in the dataset	1063	meV per atom

Quantum ESPRESSO input file:
```
&SYSTEM
  ibrav = 0, nat = 7, ntyp = 2
/
ATOMIC_SPECIES
Zn 65.41 Zn.upf
Rh 102.91 Rh.upf
ATOMIC_POSITIONS crystal
Zn 0.250 0.500 0.750
Zn 0.750 0.250 0.500
Zn 0.500 0.250 0.750
Zn 0.500 0.750 0.250
Zn 0.750 0.500 0.250
Zn 0.250 0.750 0.500
Rh 0.000 0.000 0.000
CELL_PARAMETERS angstrom
-3.926 1.704 4.003
-2.516 -0.083 -5.292
1.937 -5.369 1.326
```

***

Record 3
## CaAlTlF6 (PBE-GGA)

Data for a relaxed structure of CaAlTlF6. Values from VASP.

Values from the calculation:
uncorrected energy	-5.46	eV per atom
volume	285.4	Å³/cell
ΔE_f (raw)	-3312.1	meV per atom

Quantum ESPRESSO input file:
```
&SYSTEM
  ibrav = 0, nat = 18, ntyp = 4
/
ATOMIC_SPECIES
Al 26.98 Al.upf
F 19.00 F.upf
Ca 40.08 Ca.upf
Tl 204.38 Tl.upf
ATOMIC_POSITIONS crystal
Al 0.500 0.500 0.000
Al 0.500 0.000 0.000
F 0.139 0.889 0.277
F 0.207 0.865 0.744
F 0.484 0.234 0.968
F 0.463 0.135 0.256
F 0.516 0.766 0.032
F 0.537 0.379 0.744
F 0.861 0.111 0.723
F 0.793 0.135 0.256
F 0.463 0.621 0.256
F 0.793 0.621 0.256
F 0.207 0.379 0.744
F 0.537 0.865 0.744
Ca 0.000 0.000 0.500
Ca 0.500 0.000 0.500
Tl 0.857 0.607 0.713
Tl 0.143 0.393 0.287
CELL_PARAMETERS angstrom
7.763 0.000 0.000
0.000 7.318 0.000
-3.881 -3.659 5.024
```

***

Record 4
## Ce2SbRh2 (PBE-GGA)

Data for a relaxed structure of Ce2SbRh2. Values from VASP.

Values from the calculation:
uncorrected energy	-7.05	eV per atom
volume	217.8	Å³/cell
ΔE_f (raw)	-915.7	meV per atom

Quantum ESPRESSO input file:
```
&SYSTEM
  ibrav = 0, nat = 10, ntyp = 3
/
ATOMIC_SPECIES
Ce 140.12 Ce.upf
Sb 121.76 Sb.upf
Rh 102.91 Rh.upf
ATOMIC_POSITIONS crystal
Ce 0.500 0.677 0.823
Ce 0.500 0.323 0.177
Ce 0.500 0.823 0.323
Ce 0.500 0.177 0.677
Sb 0.000 0.500 0.500
Sb 0.000 0.000 0.000
Rh 0.000 0.133 0.367
Rh 0.000 0.633 0.133
Rh 0.000 0.867 0.633
Rh 0.000 0.367 0.867
CELL_PARAMETERS angstrom
3.839 0.000 0.000
0.000 7.532 0.000
0.000 0.000 7.532
```

***

Record 5
## Cs3PaTe8 (PBE-GGA)

Data for a relaxed structure of Cs3PaTe8. Values from VASP.

Values from the calculation:
uncorrected energy	-3.84	eV per atom
volume	557.7	Å³/cell
ΔE_f (raw)	-738.7	meV per atom

Quantum ESPRESSO input file:
```
&SYSTEM
  ibrav = 0, nat = 12, ntyp = 3
/
ATOMIC_SPECIES
Te 127.60 Te.upf
Pa 231.04 Pa.upf
Cs 132.91 Cs.upf
ATOMIC_POSITIONS crystal
Te 0.000 0.651 0.928
Te 0.444 0.208 0.208
Te 0.278 0.349 0.349
Te 0.722 0.072 0.072
Te 0.000 0.928 0.651
Te 0.556 0.764 0.764
Te 0.000 0.792 0.236
Te 0.000 0.236 0.792
Pa 0.000 0.000 0.000
Cs 0.500 0.250 0.750
Cs 0.000 0.500 0.500
Cs 0.500 0.750 0.250
CELL_PARAMETERS angstrom
-0.777 5.429 -7.152
4.497 -7.597 -1.818
-7.937 -3.071 2.969
```

***

Record 6
## Ba3Sn3Rh (PBE-GGA)

Data for a relaxed structure of Ba3Sn3Rh. Values from VASP.

Values from the calculation:
uncorrected energy	-4.20	eV per atom
formation energy	-4.27	eV per formula unit
volume	485.2	Å³/cell

Quantum ESPRESSO input file:
```
&SYSTEM
  ibrav = 0, nat = 14, ntyp = 3
/
ATOMIC_SPECIES
Sn 118.71 Sn.upf
Ba 137.33 Ba.upf
Rh 102.91 Rh.upf
ATOMIC_POSITIONS crystal
Sn 0.188 0.167 0.457
Sn 0.812 0.833 0.543
Sn 0.948 0.858 0.246
Sn 0.106 0.866 0.922
Sn 0.894 0.134 0.078
Sn 0.052 0.142 0.754
Ba 0.255 0.256 0.234
Ba 0.489 0.634 0.388
Ba 0.745 0.744 0.766
Ba 0.511 0.366 0.612
Ba 0.400 0.282 0.918
Ba 0.600 0.718 0.082
Rh 0.238 0.918 0.605
Rh 0.762 0.082 0.395
CELL_PARAMETERS angstrom
-1.675 0.625 -4.667
-1.671 -5.879 -2.863
-15.383 1.048 2.986
```

***

Record 7
## UAlTc (PBE-GGA)

Data for a relaxed structure of UAlTc. Values from VASP.

Values from the calculation:
uncorrected energy	-8.59	eV per atom
formation energy	-0.39	eV per formula unit
volume	111.2	Å³/cell
excess energy over the best structure of this formula in the dataset	171	meV per atom

Quantum ESPRESSO input file:
```
&SYSTEM
  ibrav = 0, nat = 6, ntyp = 3
/
ATOMIC_SPECIES
Al 26.98 Al.upf
Tc 98.00 Tc.upf
U 238.03 U.upf
ATOMIC_POSITIONS crystal
Al 0.500 0.500 0.000
Al 0.000 0.000 0.000
Tc 0.000 0.500 0.256
Tc 0.500 0.000 0.744
U 0.500 0.000 0.338
U 0.000 0.500 0.662
CELL_PARAMETERS angstrom
3.845 0.000 0.000
0.000 3.845 0.000
0.000 0.000 7.522
```

***

Record 8
## K5La2 (PBE-GGA)

Data for a relaxed structure of K5La2. Values from VASP.

Values from the calculation:
uncorrected energy	-1.78	eV per atom
formation energy	2.90	eV per formula unit
volume	837.5	Å³/cell

Quantum ESPRESSO input file:
```
&SYSTEM
  ibrav = 0, nat = 14, ntyp = 2
/
ATOMIC_SPECIES
K 39.10 K.upf
La 138.91 La.upf
ATOMIC_POSITIONS crystal
K 0.315 0.812 0.396
K 0.527 0.028 0.324
K 0.473 0.972 0.676
K 0.188 0.685 0.104
K 0.752 0.248 0.250
K 0.248 0.752 0.750
K 0.028 0.527 0.824
K 0.812 0.315 0.896
K 0.972 0.473 0.176
K 0.685 0.188 0.604
La 0.077 0.578 0.474
La 0.422 0.923 0.026
La 0.578 0.077 0.974
La 0.923 0.422 0.526
CELL_PARAMETERS angstrom
-7.315 -7.305 -0.114
-0.858 -10.301 -0.173
-1.175 -2.770 12.078
```

***

Question: The lowest uncorrected energy belongs to which entry?
Answer: UAlTc

***

Question: Number 4 is which compound?
Answer: Ce2SbRh2

***

Copy entry 4 word for word.
## Ce2SbRh2 (PBE-GGA)

Data for a relaxed structure of Ce2SbRh2. Values from VASP.

Values from the calculation:
uncorrected energy	-7.05	eV per atom
volume	217.8	Å³/cell
ΔE_f (raw)	-915.7	meV per atom

Quantum ESPRESSO input file:
```
&SYSTEM
  ibrav = 0, nat = 10, ntyp = 3
/
ATOMIC_SPECIES
Ce 140.12 Ce.upf
Sb 121.76 Sb.upf
Rh 102.91 Rh.upf
ATOMIC_POSITIONS crystal
Ce 0.500 0.677 0.823
Ce 0.500 0.323 0.177
Ce 0.500 0.823 0.323
Ce 0.500 0.177 0.677
Sb 0.000 0.500 0.500
Sb 0.000 0.000 0.000
Rh 0.000 0.133 0.367
Rh 0.000 0.633 0.133
Rh 0.000 0.867 0.633
Rh 0.000 0.367 0.867
CELL_PARAMETERS angstrom
3.839 0.000 0.000
0.000 7.532 0.000
0.000 0.000 7.532
```